1.
AcAlFe2O6: optimized geometry, PBE+U.

The structure belongs to space group P1 (No. 1); the cell edges are 5.266, 5.288 and 5.613 Å and the angles 117.88°, 90.15° and 119.84°. The inequivalent atoms are Ac at (0.000, 0.000, 0.000), Al at (0.453, 0.907, 0.362), Fe at (0.247, 0.496, 0.746), Fe at (0.767, 0.535, 0.306), O at (0.048, 0.620, 0.088), O at (0.171, 0.689, 0.544), O at (0.467, 0.516, 0.091), O at (0.511, 0.368, 0.541), O at (0.569, 0.032, 0.085) and O at (0.856, 0.032, 0.546).

As for the uncorrected energy: -6.96 eV/atom.

=====

2.
Ac3Al2FeO9: optimized geometry, PBE+U.

The structure belongs to space group P-3m1 (No. 164); the cell edges are 5.5069, 5.5069 and 6.7593 Å and the angles 90.00°, 90.00° and 120.00°. The inequivalent atoms are Ac at (0.0000, 0.0000, 0.0000), Ac at (0.3333, 0.6667, 0.6632), Al at (0.3333, 0.6667, 0.1619), Fe at (0.0000, 0.0000, 0.5000), O at (0.0000, 0.5000, 0.0000) and O at (0.1688, 0.3375, 0.3302).

As for the uncorrected energy: -7.58 eV/atom.